A plane-wave DFT calculation with PBE-GGA was carried out for a geometry-optimized Li2LaSbCl structure.

Values from the calculation:
For the magnetic moment, the calculation gives 0.89 μB per formula unit. The calculation puts the total energy at -3.71 eV per atom.

a b c (Å): 4.5635 4.5635 7.7349
angles (deg): 90.00 90.00 90.00
With the nearest neighbours (Å) after each atom.
Space group P4/mmm (No. 123)
One atom of each set of equivalent atoms:
Li1 0.0000 0.5000 0.0000  2 Cl 2.28
La1 0.0000 0.0000 0.5000  4 Sb 3.23
Sb1 0.5000 0.5000 0.5000  4 La 3.23
Cl1 0.5000 0.5000 0.0000  4 Li 2.28


A plane-wave DFT calculation with PBE-GGA was carried out for a geometry-optimized MnNiS2 structure.

Values from the calculation:
For the magnetic moment, the calculation gives 3.26 μB per formula unit. The calculation puts the total energy at -6.21 eV per atom.

a b c (Å): 3.7353 3.7353 5.9980
angles (deg): 90.00 90.00 120.00
With the nearest neighbours (Å) after each atom.
Space group P3m1 (No. 156)
One atom of each set of equivalent atoms:
Mn1 0.0000 0.0000 0.0000  4 S 2.25-2.38
Ni1 0.3333 0.6667 0.4595  4 S 2.22-2.24
S1 0.0000 0.0000 0.3750  3 Ni 2.22, 1 Mn 2.25
S2 0.3333 0.6667 0.8328  1 Ni 2.24, 3 Mn 2.38


A plane-wave DFT calculation with PBE-GGA was carried out for a geometry-optimized NaSiHg2 structure.

Values from the calculation:
For the magnetic moment, the calculation gives 0.00 μB per formula unit. The calculation puts the total energy at -1.62 eV per atom.

a b c (Å): 5.1212 5.1212 17.1782
angles (deg): 90.00 90.00 90.00
With the nearest neighbours (Å) after each atom.
Space group I-42d (No. 122)
One atom of each set of equivalent atoms:
Na1 0.0000 0.0000 0.0000  4 Hg 3.05
Si1 0.0000 0.0000 0.5000  4 Hg 2.63
Hg1 0.1587 0.2500 0.6250  2 Si 2.63


What did we get for E_form (uncorrected)? Answer: -0.7688; -0.4117; 0.2145 eV/atom, in the order shown.